Computed, not measured: a relaxed structure of NaAg3GeO4 at the GGA-PBE level of DFT.

Summary:
Total energy in eV per atom: -4.41

Lattice parameters (Å, degrees): 5.6825 5.6825 5.6825 90.00 90.00 90.00
Last column: nearest neighbours and their distance in Å.
Sites, in units of the cell vectors:
Na 0.0000 0.0000 0.0000  4 O 3.11
Ag 0.0000 0.5000 0.5000  4 O 2.33
Ag 0.5000 0.0000 0.5000  4 O 2.33
Ag 0.5000 0.5000 0.0000  4 O 2.33
Ge 0.5000 0.5000 0.5000  4 O 1.81
O 0.3162 0.3162 0.3162  1 Ge 1.81
O 0.3162 0.6838 0.6838  1 Ge 1.81
O 0.6838 0.3162 0.6838  1 Ge 1.81
O 0.6838 0.6838 0.3162  1 Ge 1.81